[1]
Here is a relaxed YNpBi2 crystal from the Alexandria database. Energies are from PBE.

Offset from the most stable computed form, eV per atom: 0.167
DOS(E_F), states/eV per cell: 13.79
Total magnetization, μB/atom: 1.20
Formation energy from the elements, eV/atom: -0.219

The structure in CIF format:
```
data_YNpBi2
_chemical_formula_sum 'Y1 Np1 Bi2'
_symmetry_space_group_name_H-M 'P 4/m m m'
_symmetry_Int_Tables_number 123
_symmetry_space_group_name_Hall '-P 4 2'
_cell_length_a 5.358
_cell_length_b 5.358
_cell_length_c 4.040
_cell_angle_alpha 90.00
_cell_angle_beta 90.00
_cell_angle_gamma 90.00
loop_
_atom_site_label
_atom_site_type_symbol
_atom_site_fract_x
_atom_site_fract_y
_atom_site_fract_z
Y1 Y 0.000 0.000 0.000
Np1 Np 0.500 0.500 0.000
Bi1 Bi 0.000 0.500 0.500
```



[2]
Here is a relaxed Y3NpBi4 crystal from the Alexandria database. Energies are from PBE.

DOS(E_F), states/eV per cell: 23.20
Total magnetization, μB/atom: 0.50
Formation energy from the elements, eV/atom: -0.639

The structure in CIF format:
```
data_Y3NpBi4
_chemical_formula_sum 'Y6 Np2 Bi8'
_symmetry_space_group_name_H-M 'P 1 2/c 1'
_symmetry_Int_Tables_number 13
_cell_length_a 7.781
_cell_length_b 9.000
_cell_length_c 7.778
_cell_angle_alpha 90.00
_cell_angle_beta 109.52
_cell_angle_gamma 90.00
loop_
_symmetry_equiv_pos_as_xyz
'x,y,z'
'-x,-y,-z'
'-x,y,-z+1/2'
'x,-y,z+1/2'
loop_
_atom_site_label
_atom_site_type_symbol
_atom_site_fract_x
_atom_site_fract_y
_atom_site_fract_z
Y1 Y 0.000 0.124 0.250
Y2 Y 0.000 0.373 0.750
Y3 Y 0.500 0.125 0.750
Np1 Np 0.500 0.374 0.250
Bi1 Bi 0.249 0.124 0.000
Bi2 Bi 0.249 0.375 0.500
```



[3]
Here is a relaxed NpZnBi crystal from the Alexandria database. Energies are from PBE.

DOS(E_F), states/eV per cell: 14.30
Total magnetization, μB/atom: 1.65
Formation energy from the elements, eV/atom: 0.187

The structure in CIF format:
```
data_NpZnBi
_chemical_formula_sum 'Np2 Zn2 Bi2'
_symmetry_space_group_name_H-M 'I 4 m m'
_symmetry_Int_Tables_number 107
_symmetry_space_group_name_Hall 'I 4 -2'
_cell_length_a 3.552
_cell_length_b 3.552
_cell_length_c 11.730
_cell_angle_alpha 90.00
_cell_angle_beta 90.00
_cell_angle_gamma 90.00
loop_
_atom_site_label
_atom_site_type_symbol
_atom_site_fract_x
_atom_site_fract_y
_atom_site_fract_z
Np1 Np 0.000 0.000 0.000
Zn1 Zn 0.000 0.000 0.346
Bi1 Bi 0.000 0.000 0.697
```



[4]
Here is a relaxed NpZn4Bi crystal from the Alexandria database. Energies are from PBE.

DOS(E_F), states/eV per cell: 53.05
Total magnetization, μB/atom: 0.75
Formation energy from the elements, eV/atom: 0.172

The structure in CIF format:
```
data_NpZn4Bi
_chemical_formula_sum 'Np4 Zn16 Bi4'
_symmetry_space_group_name_H-M 'F -4 3 m'
_symmetry_Int_Tables_number 216
_symmetry_space_group_name_Hall 'F -4 2 3'
_cell_length_a 7.868
_cell_length_b 7.868
_cell_length_c 7.868
_cell_angle_alpha 90.00
_cell_angle_beta 90.00
_cell_angle_gamma 90.00
loop_
_atom_site_label
_atom_site_type_symbol
_atom_site_fract_x
_atom_site_fract_y
_atom_site_fract_z
Np1 Np 0.000 0.000 0.000
Zn1 Zn 0.125 0.125 0.375
Bi1 Bi 0.250 0.250 0.750
```



[5]
Here is a relaxed NpZnBi crystal from the Alexandria database. Energies are from PBE.

DOS(E_F), states/eV per cell: 7.75
Total magnetization, μB/atom: 1.51
Formation energy from the elements, eV/atom: 0.186

The structure in CIF format:
```
data_NpZnBi
_chemical_formula_sum 'Np1 Zn1 Bi1'
_symmetry_space_group_name_H-M 'P -6 m 2'
_symmetry_Int_Tables_number 187
_symmetry_space_group_name_Hall 'P -6 2'
_cell_length_a 5.1621
_cell_length_b 5.1621
_cell_length_c 3.2113
_cell_angle_alpha 90.00
_cell_angle_beta 90.00
_cell_angle_gamma 120.00
loop_
_atom_site_label
_atom_site_type_symbol
_atom_site_fract_x
_atom_site_fract_y
_atom_site_fract_z
Np1 Np 0.0000 0.0000 0.0000
Zn1 Zn 0.6667 0.3333 0.5000
Bi1 Bi 0.3333 0.6667 0.5000
```



[6]
Here is a relaxed ZrNpBi2 crystal from the Alexandria database. Energies are from PBE.

Offset from the most stable computed form, eV per atom: 0.040
DOS(E_F), states/eV per cell: 10.07
Total magnetization, μB/atom: 1.32
Formation energy from the elements, eV/atom: -0.013

The structure in CIF format:
```
data_ZrNpBi2
_chemical_formula_sum 'Zr1 Np1 Bi2'
_symmetry_space_group_name_H-M 'P 4/m m m'
_symmetry_Int_Tables_number 123
_symmetry_space_group_name_Hall '-P 4 2'
_cell_length_a 5.639
_cell_length_b 5.639
_cell_length_c 3.358
_cell_angle_alpha 90.00
_cell_angle_beta 90.00
_cell_angle_gamma 90.00
loop_
_atom_site_label
_atom_site_type_symbol
_atom_site_fract_x
_atom_site_fract_y
_atom_site_fract_z
Zr1 Zr 0.000 0.000 0.000
Np1 Np 0.500 0.500 0.000
Bi1 Bi 0.000 0.500 0.500
```



[7]
Here is a relaxed ZrNpBi2 crystal from the Alexandria database. Energies are from PBE.

Offset from the most stable computed form, eV per atom: 0.000
DOS(E_F), states/eV per cell: 9.19
Total magnetization, μB/atom: 1.25
Formation energy from the elements, eV/atom: -0.052

The structure in CIF format:
```
data_ZrNpBi2
_chemical_formula_sum 'Zr1 Np1 Bi2'
_symmetry_space_group_name_H-M 'P 4/m m m'
_symmetry_Int_Tables_number 123
_symmetry_space_group_name_Hall '-P 4 2'
_cell_length_a 3.628
_cell_length_b 3.628
_cell_length_c 8.040
_cell_angle_alpha 90.00
_cell_angle_beta 90.00
_cell_angle_gamma 90.00
loop_
_atom_site_label
_atom_site_type_symbol
_atom_site_fract_x
_atom_site_fract_y
_atom_site_fract_z
Zr1 Zr 0.000 0.000 0.000
Np1 Np 0.000 0.000 0.500
Bi1 Bi 0.500 0.500 0.231
```



[8]
Here is a relaxed ZrNpBi2 crystal from the Alexandria database. Energies are from PBE.

Offset from the most stable computed form, eV per atom: 0.360
DOS(E_F), states/eV per cell: 22.59
Total magnetization, μB/atom: 1.08
Formation energy from the elements, eV/atom: 0.308

The structure in CIF format:
```
data_ZrNpBi2
_chemical_formula_sum 'Zr3 Np3 Bi6'
_symmetry_space_group_name_H-M 'R -3 m'
_symmetry_Int_Tables_number 166
_symmetry_space_group_name_Hall '-R 3 2"'
_cell_length_a 3.3151
_cell_length_b 3.3151
_cell_length_c 35.0902
_cell_angle_alpha 90.00
_cell_angle_beta 90.00
_cell_angle_gamma 120.00
loop_
_atom_site_label
_atom_site_type_symbol
_atom_site_fract_x
_atom_site_fract_y
_atom_site_fract_z
Zr1 Zr 0.0000 0.0000 0.0000
Np1 Np 0.0000 0.0000 0.5000
Bi1 Bi 0.0000 0.0000 0.0869
```



[9]
Here is a relaxed ZrNpBi2 crystal from the Alexandria database. Energies are from PBE.

Offset from the most stable computed form, eV per atom: 0.055
DOS(E_F), states/eV per cell: 67.51
Total magnetization, μB/atom: 1.28
Formation energy from the elements, eV/atom: 0.002

The structure in CIF format:
```
data_ZrNpBi2
_chemical_formula_sum 'Zr4 Np4 Bi8'
_symmetry_space_group_name_H-M 'F m -3 m'
_symmetry_Int_Tables_number 225
_symmetry_space_group_name_Hall '-F 4 2 3'
_cell_length_a 7.535
_cell_length_b 7.535
_cell_length_c 7.535
_cell_angle_alpha 90.00
_cell_angle_beta 90.00
_cell_angle_gamma 90.00
loop_
_atom_site_label
_atom_site_type_symbol
_atom_site_fract_x
_atom_site_fract_y
_atom_site_fract_z
Zr1 Zr 0.000 0.000 0.000
Np1 Np 0.000 0.000 0.500
Bi1 Bi 0.250 0.250 0.250
```